Record 1
This record from Alexandria via LeMat-Bulk describes a geometry-optimized Mg3Si4 structure. The functional is PBE-GGA.

Cell: 5.9139 6.5270 8.0343 Å, 108.66 106.71 93.81°
Last column: nearest neighbours and their distance in Å.
Space group P1 (No. 1)
Inequivalent atoms, fractional coordinates:
Mg 0.0000 0.0000 0.0000  5 Si 2.67-2.96
Mg 0.1013 0.5320 0.0233  5 Si 2.68-2.96
Mg 0.2861 0.9173 0.6964  6 Si 2.78-3.03
Mg 0.4035 0.4969 0.4081  5 Si 2.73-2.98
Mg 0.5882 0.9226 0.1568  4 Si 2.66-2.82
Mg 0.7500 0.0336 0.5738  4 Si 2.71-2.76, 1 Mg 3.03
Si 0.0465 0.1538 0.3990  3 Si 2.37-2.49
Si 0.1805 0.4585 0.6886  3 Si 2.40-2.47
Si 0.2876 0.8809 0.3385  1 Si 2.37, 1 Mg 2.66
Si 0.4109 0.2506 0.0567  2 Si 2.35-2.40
Si 0.6092 0.6265 0.8392  3 Si 2.43-2.47, 1 Mg 2.71
Si 0.6627 0.2793 0.8835  3 Si 2.35-2.52
Si 0.8283 0.3794 0.2309  3 Si 2.40-2.52
Si 0.8594 0.6635 0.6476  2 Si 2.40-2.47

## Properties
Excess energy over the best structure of this formula in the dataset in meV per atom: 46
Uncorrected energy in Ry/atom: -0.27077

***

Record 2
This record from Alexandria via LeMat-Bulk describes a geometry-optimized Mn2Ir structure. The functional is PBE-GGA.

Cell: 5.9308 5.9308 5.9308 Å, 90.00 90.00 90.00°
Last column: nearest neighbours and their distance in Å.
Space group Fm-3m (No. 225)
Inequivalent atoms, fractional coordinates:
Mn 0.2500 0.2500 0.2500  4 Ir 2.57
Ir 0.0000 0.0000 0.0000  8 Mn 2.57

## Properties
ΔH_f (0 K) in meV per atom: 465
Uncorrected energy in Ry/atom: -0.63223

***

Record 3
This record from Alexandria via LeMat-Bulk describes a geometry-optimized CsLiLa2I8 structure. The functional is PBE-GGA.

Cell: 8.0698 8.0698 9.7136 Å, 90.00 90.00 120.00°
Last column: nearest neighbours and their distance in Å.
Space group P-3 (No. 147)
Inequivalent atoms, fractional coordinates:
Cs 0.0000 0.0000 0.0000  12 I 4.24-4.74
Li 0.0000 0.0000 0.5000  6 I 3.02
La 0.3333 0.6667 0.4067  7 I 3.08-3.38
I 0.0699 0.3531 0.6561  1 Li 3.02, 2 La 3.24-3.38
I 0.3333 0.6667 0.0898  1 La 3.08

## Properties
Uncorrected energy in Ry/atom: -0.25934

***

Q: Look up the uncorrected energy of the third one.
A: -0.25934 Ry/atom